# PuTlFeO6 | Alexandria | PBE with a Hubbard U | relaxed
data_PuTlFeO6
_chemical_formula_sum 'Pu2 Tl2 Fe2 O12'
_cell_length_a 5.395
_cell_length_b 5.395
_cell_length_c 9.666
_cell_angle_alpha 90.00
_cell_angle_beta 90.00
_cell_angle_gamma 120.00
_space_group_name_H-M_alt 'P 1'
_space_group_IT_number 1
loop_
_space_group_symop_operation_xyz
'x,y,z'
loop_
_atom_site_label
_atom_site_type_symbol
_atom_site_fract_x
_atom_site_fract_y
_atom_site_fract_z
_atom_site_occupancy
Tl1 Tl 0.000 0.000 0.500 1
Tl2 Tl 0.000 0.000 0.000 1
O1 O 0.003 0.646 0.863 1
O2 O 0.354 0.357 0.863 1
O3 O 0.357 0.003 0.137 1
O4 O 0.643 0.646 0.637 1
O5 O 0.997 0.354 0.137 1
O6 O 0.354 0.997 0.637 1
O7 O 0.646 0.003 0.363 1
O8 O 0.003 0.357 0.637 1
O9 O 0.357 0.354 0.363 1
O10 O 0.643 0.997 0.863 1
O11 O 0.997 0.643 0.363 1
O12 O 0.646 0.643 0.137 1
Fe1 Fe 0.667 0.333 0.250 1
Fe2 Fe 0.333 0.667 0.750 1
Pu1 Pu 0.667 0.333 0.750 1
Pu2 Pu 0.333 0.667 0.250 1
# - space-group type = P-31c
# - E (eV per formula unit) = -66.845
# - crystal system = trigonal
# - total magnetization (μB per formula unit) = 7.00